Entry 1:
First-principles (PBE) data for an optimized crystal structure of LiTiPd3, as listed in Alexandria via LeMat-Bulk.

```
LiTiPd3
1.0
4.2243 0.0000 0.0000
0.0000 4.2243 0.0000
0.0000 0.0000 4.2243
Li Ti Pd
1 1 3
direct
0.0000 0.0000 0.0000
0.5000 0.5000 0.5000
0.0000 0.0000 0.5000
0.0000 0.5000 0.0000
0.5000 0.0000 0.0000
```

Calculated values
relative energy among the computed polymorphs = 574.6 meV/atom

***

Entry 2:
First-principles (PBE) data for an optimized crystal structure of Li3TiPd12, as listed in Alexandria via LeMat-Bulk.

```
Li3TiPd12
1.0
3.9169 0.0000 0.0000
0.0000 3.9169 0.0000
0.0000 0.0000 15.4863
Li Ti Pd
3 1 12
direct
0.0000 0.0000 0.0000
0.0000 0.0000 0.2472
0.0000 0.0000 0.7528
0.0000 0.0000 0.5000
0.0000 0.5000 0.1238
0.0000 0.5000 0.3759
0.0000 0.5000 0.6241
0.0000 0.5000 0.8762
0.5000 0.0000 0.1238
0.5000 0.0000 0.3759
0.5000 0.0000 0.6241
0.5000 0.0000 0.8762
0.5000 0.5000 0.0000
0.5000 0.5000 0.2491
0.5000 0.5000 0.5000
0.5000 0.5000 0.7509
```

Calculated values
total energy = -5.10 eV per atom

***

Entry 3:
First-principles (PBE) data for an optimized crystal structure of LiTiPd3, as listed in Alexandria via LeMat-Bulk.

```
LiTiPd3
1.0
4.6052 0.0000 0.0000
-0.9870 5.2652 0.0000
-1.4958 -1.5566 6.2314
Li Ti Pd
2 2 6
direct
0.0660 0.2475 0.0018
0.9340 0.7525 0.9982
0.2650 0.6903 0.4184
0.7350 0.3097 0.5816
0.1476 0.1743 0.3890
0.3324 0.5590 0.7818
0.4633 0.0849 0.8086
0.5367 0.9151 0.1914
0.6676 0.4410 0.2182
0.8524 0.8257 0.6110
```

Calculated values
relative energy among the computed polymorphs = 0.0 meV/atom

***

Entry 4:
First-principles (PBE) data for an optimized crystal structure of LiTi2Pd8, as listed in Alexandria via LeMat-Bulk.

```
LiTi2Pd8
1.0
6.9744 -1.9925 0.0000
6.9744 1.9925 0.0000
-1.8633 0.0000 6.0486
Li Ti Pd
1 2 8
direct
0.0000 0.0000 0.0000
0.2807 0.2807 0.3351
0.7193 0.7193 0.6649
0.1005 0.1005 0.4599
0.1778 0.1778 0.9171
0.3522 0.3522 0.7951
0.4570 0.4570 0.2737
0.5430 0.5430 0.7263
0.6478 0.6478 0.2049
0.8222 0.8222 0.0829
0.8995 0.8995 0.5401
```

Calculated values
relative energy among the computed polymorphs = 0.0 meV/atom

***

Entry 5:
First-principles (PBE) data for an optimized crystal structure of LiTi2Pd2, as listed in Alexandria via LeMat-Bulk.

```
LiTi2Pd2
1.0
7.6269 0.0000 0.0000
0.0000 7.6269 0.0000
0.0000 0.0000 2.8746
Li Ti Pd
2 4 4
direct
0.0000 0.0000 0.0000
0.5000 0.5000 0.0000
0.1591 0.3409 0.5000
0.3409 0.8409 0.5000
0.6591 0.1591 0.5000
0.8409 0.6591 0.5000
0.1377 0.6377 0.0000
0.3623 0.1377 0.0000
0.6377 0.8623 0.0000
0.8623 0.3623 0.0000
```

Calculated values
relative energy among the computed polymorphs = 0.0 meV/atom

***

Entry 6:
First-principles (PBE) data for an optimized crystal structure of Li2Ti2Pd3, as listed in Alexandria via LeMat-Bulk.

```
Li2Ti2Pd3
1.0
1.4573 -12.3769 0.0000
1.4573 12.3769 0.0000
0.0000 0.0000 2.8835
Li Ti Pd
2 2 3
direct
0.0634 0.9366 0.0000
0.9366 0.0634 0.0000
0.2037 0.7963 0.0000
0.7963 0.2037 0.0000
0.3681 0.6319 0.5000
0.5000 0.5000 0.5000
0.6319 0.3681 0.5000
```

Calculated values
total energy = -5.38 eV per atom

***

Entry 7:
First-principles (PBE) data for an optimized crystal structure of Li5TiPd4, as listed in Alexandria via LeMat-Bulk.

```
Li5TiPd4
1.0
6.8969 -2.1147 0.0000
6.8969 2.1147 0.0000
-2.6662 0.0000 5.5035
Li Ti Pd
5 1 4
direct
0.0000 0.0000 0.0000
0.3232 0.3232 0.3573
0.3359 0.3359 0.8126
0.6641 0.6641 0.1874
0.6768 0.6768 0.6427
0.0000 0.0000 0.5000
0.1735 0.1735 0.9079
0.4868 0.4868 0.2446
0.5132 0.5132 0.7554
0.8265 0.8265 0.0921
```

Calculated values
total energy = -4.16 eV per atom

***

Entry 8:
First-principles (PBE) data for an optimized crystal structure of LiTi3Pd6, as listed in Alexandria via LeMat-Bulk.

```
LiTi3Pd6
1.0
6.6706 0.0000 0.0000
0.0000 6.9412 0.0000
-5.7890 0.0000 6.9193
Li Ti Pd
2 6 12
direct
0.0000 0.0000 0.0000
0.0000 0.5000 0.5000
0.2469 0.1379 0.6876
0.2469 0.3621 0.1876
0.5000 0.0000 0.5000
0.5000 0.5000 0.0000
0.7531 0.6379 0.8124
0.7531 0.8621 0.3124
0.0053 0.6313 0.2118
0.0053 0.8687 0.7118
0.2763 0.7125 0.0697
0.2763 0.7875 0.5697
0.4148 0.1374 0.0525
0.4148 0.3626 0.5525
0.5852 0.6374 0.4475
0.5852 0.8626 0.9475
0.7237 0.2125 0.4303
0.7237 0.2875 0.9303
0.9947 0.1313 0.2882
0.9947 0.3687 0.7882
```

Calculated values
total energy = -6.10 eV per atom

***

Entry 9:
First-principles (PBE) data for an optimized crystal structure of LiTiPd6, as listed in Alexandria via LeMat-Bulk.

```
LiTiPd6
1.0
5.5659 0.0000 0.0000
0.0000 5.5659 0.0000
0.0000 0.0000 3.8652
Li Ti Pd
1 1 6
direct
0.0000 0.0000 0.0000
0.5000 0.5000 0.0000
0.0000 0.5000 0.0000
0.2529 0.2529 0.5000
0.2529 0.7471 0.5000
0.5000 0.0000 0.0000
0.7471 0.2529 0.5000
0.7471 0.7471 0.5000
```

Calculated values
relative energy among the computed polymorphs = 0.0 meV/atom

***

Entry 10:
First-principles (PBE) data for an optimized crystal structure of Li3TiPd4, as listed in Alexandria via LeMat-Bulk.

```
Li3TiPd4
1.0
6.4962 -2.1295 0.0000
6.4962 2.1295 0.0000
-1.3836 0.0000 4.0281
Li Ti Pd
3 1 4
direct
0.0000 0.0000 0.0000
0.2456 0.2456 0.2457
0.7544 0.7544 0.7543
0.5000 0.5000 0.5000
0.1261 0.1261 0.6262
0.3739 0.3739 0.8740
0.6261 0.6261 0.1260
0.8739 0.8739 0.3738
```

Calculated values
total energy = -4.82 eV per atom

***

Entry 11:
First-principles (PBE) data for an optimized crystal structure of LiTi3Pd, as listed in Alexandria via LeMat-Bulk.

```
LiTi3Pd
1.0
4.3403 0.0000 0.0000
0.0000 4.3403 0.0000
0.0000 0.0000 4.3403
Li Ti Pd
1 3 1
direct
0.0000 0.0000 0.0000
0.0000 0.0000 0.5000
0.0000 0.5000 0.0000
0.5000 0.0000 0.0000
0.5000 0.5000 0.5000
```

Calculated values
relative energy among the computed polymorphs = 115.6 meV/atom

***

Entry 12:
First-principles (PBE) data for an optimized crystal structure of Li3TiPd6, as listed in Alexandria via LeMat-Bulk.

```
Li3TiPd6
1.0
10.1925 0.0000 0.0000
0.0000 2.7661 0.0000
-4.3590 0.0000 10.5497
Li Ti Pd
6 2 12
direct
0.0236 0.2500 0.3925
0.1341 0.2500 0.9967
0.2717 0.7500 0.3795
0.7283 0.2500 0.6205
0.8659 0.7500 0.0033
0.9764 0.7500 0.6075
0.4196 0.7500 0.7904
0.5804 0.2500 0.2096
0.0517 0.2500 0.1884
0.1895 0.2500 0.7915
0.2077 0.7500 0.5793
0.3328 0.2500 0.2115
0.3848 0.7500 0.0138
0.4517 0.2500 0.5924
0.5483 0.7500 0.4076
0.6152 0.2500 0.9862
0.6672 0.7500 0.7885
0.7923 0.2500 0.4207
0.8105 0.7500 0.2085
0.9483 0.7500 0.8116
```

Calculated values
relative energy among the computed polymorphs = 71.3 meV/atom

***

| no. | D(E_F) (states/eV/f.u.) |
| --- | --- |
| 1 | 17.9 |
| 2 | 18.4 |
| 3 | 2.3 |
| 4 | 6.3 |
| 5 | 4.0 |
| 6 | 5.2 |
| 7 | 5.6 |
| 8 | 6.3 |
| 9 | 9.9 |
| 10 | 3.1 |
| 11 | 10.8 |
| 12 | 4.8 |